*P*
Here is a relaxed LiCu4Si crystal from Alexandria via LeMat-Bulk. Energies are from PBE-GGA.

Computed properties:
SG   Cmc2_1

a = 4.161 Å, b = 4.261 Å, c = 9.266 Å
α = 76.71°, β = 90.00°, γ = 90.00°
Fractional positions:
Li 0.263 0.910 0.181
Li 0.763 0.090 0.819
Cu 0.762 0.826 0.347
Cu 0.262 0.174 0.653
Cu 0.260 0.469 0.063
Cu 0.760 0.531 0.937
Cu 0.261 0.748 0.504
Cu 0.761 0.252 0.496
Cu 0.761 0.672 0.656
Cu 0.261 0.328 0.344
Si 0.260 0.602 0.797
Si 0.760 0.398 0.203

*Q*
Here is a relaxed LiCu4Si crystal from Alexandria via LeMat-Bulk. Energies are from PBE-GGA.

Computed properties:
SG   Cmcm

a = 4.016 Å, b = 5.163 Å, c = 7.802 Å
α = 90.00°, β = 104.92°, γ = 90.00°
Fractional positions:
Li 0.116 0.250 0.232
Li 0.884 0.750 0.768
Cu 0.500 0.500 0.000
Cu 0.500 0.000 0.000
Cu 0.663 0.985 0.327
Cu 0.337 0.015 0.673
Cu 0.337 0.485 0.673
Cu 0.663 0.515 0.327
Cu 0.059 0.750 0.117
Cu 0.941 0.250 0.883
Si 0.213 0.750 0.426
Si 0.787 0.250 0.574

Winner for stability: *P*

*P*
Here is a relaxed Li3Cu7Si2 crystal from Alexandria via LeMat-Bulk. Energies are from PBE-GGA.

Computed properties:
SG   C2/m

a = 4.112 Å, b = 4.112 Å, c = 8.992 Å
α = 103.26°, β = 76.73°, γ = 90.23°
Fractional positions:
Li 0.500 0.500 0.000
Li 0.833 0.166 0.335
Li 0.167 0.834 0.665
Cu 0.251 0.251 0.500
Cu 0.749 0.749 0.500
Cu 0.914 0.585 0.173
Cu 0.000 0.000 0.000
Cu 0.086 0.415 0.827
Cu 0.586 0.914 0.827
Cu 0.414 0.086 0.173
Si 0.335 0.665 0.330
Si 0.665 0.335 0.670

*Q*
Here is a relaxed Li3Cu7Si2 crystal from Alexandria via LeMat-Bulk. Energies are from PBE-GGA.

Computed properties:
SG   R-3m

a = 4.926 Å, b = 4.926 Å, c = 8.426 Å
α = 73.00°, β = 73.00°, γ = 60.00°
Fractional positions:
Li 0.000 0.000 0.000
Li 0.854 0.854 0.439
Li 0.146 0.146 0.561
Cu 0.500 0.500 0.500
Cu 0.919 0.417 0.246
Cu 0.417 0.919 0.246
Cu 0.417 0.417 0.246
Cu 0.081 0.583 0.754
Cu 0.583 0.583 0.754
Cu 0.583 0.081 0.754
Si 0.667 0.667 0.998
Si 0.333 0.333 0.002

Winner for stability: *P*

*P*
Here is a relaxed Li4CuSi crystal from Alexandria via LeMat-Bulk. Energies are from PBE-GGA.

Computed properties:
SG   F-43m

a = 4.818 Å, b = 4.818 Å, c = 4.818 Å
α = 60.00°, β = 60.00°, γ = 60.00°
Fractional positions:
Li 0.873 0.376 0.376
Li 0.376 0.376 0.873
Li 0.376 0.873 0.376
Li 0.376 0.376 0.376
Cu 0.000 0.000 0.000
Si 0.750 0.750 0.750

*Q*
Here is a relaxed Li4CuSi crystal from Alexandria via LeMat-Bulk. Energies are from PBE-GGA.

Computed properties:
SG   Cmcm

a = 4.366 Å, b = 4.905 Å, c = 7.917 Å
α = 71.96°, β = 90.00°, γ = 90.00°
Fractional positions:
Li 0.250 0.782 0.416
Li 0.250 0.955 0.084
Li 0.750 0.698 0.584
Li 0.750 0.539 0.916
Li 0.750 0.218 0.584
Li 0.250 0.302 0.416
Li 0.750 0.045 0.916
Li 0.250 0.461 0.084
Cu 0.750 0.120 0.260
Cu 0.250 0.880 0.740
Si 0.750 0.629 0.242
Si 0.250 0.371 0.758

Winner for stability: *Q*

*P*
Here is a relaxed LiSmCuSi crystal from Alexandria via LeMat-Bulk. Energies are from PBE-GGA.

Computed properties:
SG   F-43m

a = 4.554 Å, b = 4.554 Å, c = 4.554 Å
α = 60.00°, β = 60.00°, γ = 60.00°
Fractional positions:
Si 0.250 0.250 0.250
Cu 0.000 0.000 0.000
Sm 0.750 0.750 0.750
Li 0.500 0.500 0.500

*Q*
Here is a relaxed LiSmCuSi crystal from Alexandria via LeMat-Bulk. Energies are from PBE-GGA.

Computed properties:
SG   F-43m

a = 4.737 Å, b = 4.737 Å, c = 4.737 Å
α = 60.00°, β = 60.00°, γ = 60.00°
Fractional positions:
Si 0.750 0.750 0.750
Cu 0.250 0.250 0.250
Sm 0.500 0.500 0.500
Li 0.000 0.000 0.000

Winner for stability: *P*

*P*
Here is a relaxed LiTaCuSi2 crystal from Alexandria via LeMat-Bulk. Energies are from PBE-GGA.

Computed properties:
SG   P4/mmm

a = 4.103 Å, b = 4.395 Å, c = 4.103 Å
α = 90.00°, β = 90.00°, γ = 90.00°
Fractional positions:
Si 0.000 0.000 0.500
Si 0.500 0.000 0.000
Li 0.000 0.000 0.000
Cu 0.500 0.500 0.500
Ta 0.000 0.500 0.000

*Q*
Here is a relaxed LiTaCuSi2 crystal from Alexandria via LeMat-Bulk. Energies are from PBE-GGA.

Computed properties:
SG   P4/mmm

a = 4.878 Å, b = 4.924 Å, c = 4.878 Å
α = 90.00°, β = 90.00°, γ = 90.00°
Fractional positions:
Si 0.000 0.000 0.500
Si 0.500 0.000 0.000
Li 0.500 0.500 0.500
Cu 0.000 0.500 0.000
Ta 0.000 0.000 0.000

Winner for stability: *Q*

*P*
Here is a relaxed LiTmCuSi crystal from Alexandria via LeMat-Bulk. Energies are from PBE-GGA.

Computed properties:
SG   F-43m

a = 4.439 Å, b = 4.439 Å, c = 4.439 Å
α = 60.00°, β = 60.00°, γ = 60.00°
Fractional positions:
Si 0.750 0.750 0.750
Tm 0.250 0.250 0.250
Cu 0.500 0.500 0.500
Li 0.000 0.000 0.000

*Q*
Here is a relaxed LiTmCuSi crystal from Alexandria via LeMat-Bulk. Energies are from PBE-GGA.

Computed properties:
SG   F-43m

a = 4.609 Å, b = 4.609 Å, c = 4.609 Å
α = 60.00°, β = 60.00°, γ = 60.00°
Fractional positions:
Si 0.250 0.250 0.250
Tm 0.000 0.000 0.000
Cu 0.750 0.750 0.750
Li 0.500 0.500 0.500

Winner for stability: *Q*

*P*
Here is a relaxed LiSmCu2 crystal from Alexandria via LeMat-Bulk. Energies are from PBE-GGA.

Computed properties:
SG   Fm-3m

a = 4.732 Å, b = 4.732 Å, c = 4.732 Å
α = 60.00°, β = 60.00°, γ = 60.00°
Fractional positions:
Cu 0.250 0.250 0.250
Cu 0.750 0.750 0.750
Sm 0.000 0.000 0.000
Li 0.500 0.500 0.500

*Q*
Here is a relaxed LiSmCu2 crystal from Alexandria via LeMat-Bulk. Energies are from PBE-GGA.

Computed properties:
SG   P4/mmm

a = 3.359 Å, b = 3.359 Å, c = 6.358 Å
α = 90.00°, β = 90.00°, γ = 90.00°
Fractional positions:
Cu 0.000 0.000 0.802
Cu 0.000 0.000 0.198
Sm 0.500 0.500 0.500
Li 0.500 0.500 0.000

*R*
Here is a relaxed LiSmCu2 crystal from Alexandria via LeMat-Bulk. Energies are from PBE-GGA.

Computed properties:
SG   P4/mmm

a = 3.370 Å, b = 4.735 Å, c = 4.735 Å
α = 90.00°, β = 90.00°, γ = 90.00°
Fractional positions:
Cu 0.000 0.000 0.500
Cu 0.000 0.500 0.000
Sm 0.500 0.500 0.500
Li 0.500 0.000 0.000

*S*
Here is a relaxed LiSmCu2 crystal from Alexandria via LeMat-Bulk. Energies are from PBE-GGA.

Computed properties:
SG   Pnma

a = 3.963 Å, b = 6.859 Å, c = 11.196 Å
α = 90.00°, β = 90.00°, γ = 90.00°
Fractional positions:
Li 0.750 0.397 0.049
Li 0.250 0.603 0.951
Li 0.750 0.897 0.451
Li 0.250 0.103 0.549
Sm 0.750 0.376 0.355
Sm 0.250 0.624 0.645
Sm 0.750 0.876 0.145
Sm 0.250 0.124 0.855
Cu 0.250 0.048 0.321
Cu 0.750 0.952 0.679
Cu 0.250 0.548 0.179
Cu 0.750 0.452 0.821
Cu 0.250 0.205 0.128
Cu 0.750 0.795 0.872
Cu 0.250 0.705 0.372
Cu 0.750 0.295 0.628

Winner for stability: *S*

*P*
Here is a relaxed Li2SmCu crystal from Alexandria via LeMat-Bulk. Energies are from PBE-GGA.

Computed properties:
SG   R-3m

a = 3.100 Å, b = 3.100 Å, c = 10.318 Å
α = 81.36°, β = 81.36°, γ = 60.00°
Fractional positions:
Cu 0.500 0.500 0.500
Sm 0.000 0.000 0.000
Li 0.102 0.102 0.693
Li 0.898 0.898 0.307

*Q*
Here is a relaxed Li2SmCu crystal from Alexandria via LeMat-Bulk. Energies are from PBE-GGA.

Computed properties:
SG   P4/mmm

a = 3.283 Å, b = 3.283 Å, c = 7.263 Å
α = 90.00°, β = 90.00°, γ = 90.00°
Fractional positions:
Cu 0.500 0.500 0.000
Sm 0.500 0.500 0.500
Li 0.000 0.000 0.824
Li 0.000 0.000 0.176

Winner for stability: *Q*

*P*
Here is a relaxed Li4CuSn crystal from Alexandria via LeMat-Bulk. Energies are from PBE-GGA.

Computed properties:
SG   C2/m

a = 4.843 Å, b = 6.559 Å, c = 7.829 Å
α = 114.77°, β = 108.15°, γ = 90.00°
Fractional positions:
Li 0.179 0.679 0.359
Li 0.367 0.105 0.734
Li 0.000 0.182 0.000
Li 0.633 0.371 0.266
Li 0.821 0.321 0.641
Li 0.633 0.895 0.266
Li 0.000 0.818 0.000
Li 0.367 0.629 0.734
Cu 0.255 0.500 0.000
Cu 0.745 0.500 0.000
Sn 0.809 0.807 0.614
Sn 0.191 0.193 0.386

*Q*
Here is a relaxed Li4CuSn crystal from Alexandria via LeMat-Bulk. Energies are from PBE-GGA.

Computed properties:
SG   P2_1/m

a = 4.569 Å, b = 5.304 Å, c = 8.321 Å
α = 71.56°, β = 90.00°, γ = 90.00°
Fractional positions:
Li 0.250 0.790 0.418
Li 0.250 0.958 0.086
Li 0.750 0.708 0.582
Li 0.750 0.544 0.914
Li 0.750 0.210 0.582
Li 0.250 0.292 0.418
Li 0.750 0.042 0.914
Li 0.250 0.456 0.086
Cu 0.750 0.117 0.266
Cu 0.250 0.883 0.734
Sn 0.750 0.628 0.242
Sn 0.250 0.372 0.758

Winner for stability: *Q*

*P*
Here is a relaxed Li3Cu2Sn2 crystal from Alexandria via LeMat-Bulk. Energies are from PBE-GGA.

Computed properties:
SG   C2/m

a = 4.498 Å, b = 4.498 Å, c = 7.079 Å
α = 89.62°, β = 108.86°, γ = 120.12°
Fractional positions:
Li 0.000 0.000 0.000
Li 0.713 0.856 0.568
Li 0.287 0.144 0.432
Cu 0.447 0.727 0.174
Cu 0.553 0.273 0.826
Sn 0.168 0.581 0.749
Sn 0.832 0.419 0.251

*Q*
Here is a relaxed Li3Cu2Sn2 crystal from Alexandria via LeMat-Bulk. Energies are from PBE-GGA.

Computed properties:
SG   P2/m

a = 4.312 Å, b = 2.994 Å, c = 9.962 Å
α = 90.00°, β = 102.53°, γ = 90.00°
Fractional positions:
Li 0.286 0.000 0.572
Li 0.000 0.000 0.000
Li 0.714 0.000 0.428
Cu 0.138 0.000 0.275
Cu 0.862 0.000 0.725
Sn 0.416 0.500 0.832
Sn 0.584 0.500 0.168

Winner for stability: *P*

*P*
Here is a relaxed Li2Cu2Sn crystal from Alexandria via LeMat-Bulk. Energies are from PBE-GGA.

Computed properties:
SG   P4/mbm

a = 7.031 Å, b = 7.031 Å, c = 3.101 Å
α = 90.00°, β = 90.00°, γ = 90.00°
Fractional positions:
Sn 0.000 0.000 0.000
Sn 0.500 0.500 0.000
Cu 0.376 0.876 0.000
Cu 0.876 0.624 0.000
Cu 0.624 0.124 0.000
Cu 0.124 0.376 0.000
Li 0.168 0.668 0.500
Li 0.668 0.832 0.500
Li 0.832 0.332 0.500
Li 0.332 0.168 0.500

*Q*
Here is a relaxed Li2Cu2Sn crystal from Alexandria via LeMat-Bulk. Energies are from PBE-GGA.

Computed properties:
SG   P4/mbm

a = 7.095 Å, b = 7.095 Å, c = 3.000 Å
α = 90.00°, β = 90.00°, γ = 90.00°
Fractional positions:
Sn 0.000 0.000 0.000
Sn 0.500 0.500 0.000
Cu 0.150 0.650 0.500
Cu 0.650 0.850 0.500
Cu 0.850 0.350 0.500
Cu 0.350 0.150 0.500
Li 0.363 0.863 0.000
Li 0.863 0.637 0.000
Li 0.637 0.137 0.000
Li 0.137 0.363 0.000

Winner for stability: *P*